[1]
# Th2Ga4Os3 | the Alexandria database | GGA-PBE | relaxed
# Formation energy from the elements ... -295.6 meV per atom
# Final energy ... -7.03 eV/atom
data_Th2Ga4Os3
_cell_length_a 5.370
_cell_length_b 9.860
_cell_length_c 13.085
_cell_angle_alpha 90.00
_cell_angle_beta 90.00
_cell_angle_gamma 90.00
_space_group_name_H-M_alt 'F m m m'
_space_group_IT_number 69
_space_group_name_Hall '-F 2 2'
loop_
_atom_site_label
_atom_site_type_symbol
_atom_site_fract_x
_atom_site_fract_y
_atom_site_fract_z
_atom_site_occupancy
Th1 Th 0.000 0.000 0.126 1
Ga1 Ga 0.000 0.172 0.338 1
Os1 Os 0.000 0.000 0.500 1
Os2 Os 0.250 0.250 0.000 1

---

[2]
# Ta2Zn2Sn | the Alexandria database | GGA-PBE | relaxed
# Formation energy from the elements ... 325.3 meV per atom
# Final energy ... -5.73 eV/atom
data_Ta2Zn2Sn
_cell_length_a 7.613
_cell_length_b 7.613
_cell_length_c 3.223
_cell_angle_alpha 90.00
_cell_angle_beta 90.00
_cell_angle_gamma 90.00
_space_group_name_H-M_alt 'P 4/m b m'
_space_group_IT_number 127
_space_group_name_Hall '-P 4 2ab'
loop_
_atom_site_label
_atom_site_type_symbol
_atom_site_fract_x
_atom_site_fract_y
_atom_site_fract_z
_atom_site_occupancy
Ta1 Ta 0.126 0.374 0.000 1
Zn1 Zn 0.172 0.672 0.500 1
Sn1 Sn 0.000 0.000 0.000 1

---

[3]
# Ba2SnH | the Alexandria database | GGA-PBE | relaxed
# Final energy ... -3.31 eV/atom
data_Ba2SnH
_cell_length_a 7.868
_cell_length_b 5.551
_cell_length_c 11.750
_cell_angle_alpha 90.00
_cell_angle_beta 90.00
_cell_angle_gamma 90.00
_space_group_name_H-M_alt 'P n m a'
_space_group_IT_number 62
loop_
_space_group_symop_operation_xyz
'x,y,z'
'-x,-y,-z'
'-x+1/2,-y,z+1/2'
'x+1/2,y,-z+1/2'
'x+1/2,-y+1/2,-z+1/2'
'-x+1/2,y+1/2,z+1/2'
'-x,y+1/2,-z'
'x,-y+1/2,z'
loop_
_atom_site_label
_atom_site_type_symbol
_atom_site_fract_x
_atom_site_fract_y
_atom_site_fract_z
_atom_site_occupancy
Ba1 Ba 0.078 0.250 0.192 1
Ba2 Ba 0.145 0.250 0.557 1
Sn1 Sn 0.196 0.250 0.863 1
H1 H 0.096 0.750 0.613 1

---

[4]
# K3PbCl2F6 | the Alexandria database | GGA-PBE | relaxed
# Energy relative to the elements, uncorrected ... -24.169 eV per formula unit
# Final energy ... -3.84 eV/atom
data_K3PbCl2F6
_cell_length_a 14.314
_cell_length_b 6.767
_cell_length_c 5.823
_cell_angle_alpha 90.00
_cell_angle_beta 91.81
_cell_angle_gamma 90.00
_space_group_name_H-M_alt 'C 1 2/m 1'
_space_group_IT_number 12
loop_
_space_group_symop_operation_xyz
'x,y,z'
'-x,-y,-z'
'-x,y,-z'
'x,-y,z'
'x+1/2,y+1/2,z'
'-x+1/2,-y+1/2,-z'
'-x+1/2,y+1/2,-z'
'x+1/2,-y+1/2,z'
loop_
_atom_site_label
_atom_site_type_symbol
_atom_site_fract_x
_atom_site_fract_y
_atom_site_fract_z
_atom_site_occupancy
K1 K 0.000 0.000 0.000 1
K2 K 0.250 0.250 0.500 1
Pb1 Pb 0.000 0.500 0.500 1
Cl1 Cl 0.219 0.000 0.953 1
F1 F 0.062 0.273 0.306 1
F2 F 0.129 0.500 0.683 1

---

[5]
# CdFeBr2 | the Alexandria database | GGA-PBE | relaxed
# Energy relative to the elements, uncorrected ... 1.220 eV per formula unit
# Final energy ... -2.88 eV/atom
data_CdFeBr2
_cell_length_a 7.117
_cell_length_b 7.117
_cell_length_c 7.117
_cell_angle_alpha 90.00
_cell_angle_beta 90.00
_cell_angle_gamma 90.00
_space_group_name_H-M_alt 'F m -3 m'
_space_group_IT_number 225
_space_group_name_Hall '-F 4 2 3'
loop_
_atom_site_label
_atom_site_type_symbol
_atom_site_fract_x
_atom_site_fract_y
_atom_site_fract_z
_atom_site_occupancy
Cd1 Cd 0.000 0.000 0.000 1
Fe1 Fe 0.000 0.000 0.500 1
Br1 Br 0.250 0.250 0.250 1

---

[6]
# BeFePb | the Alexandria database | GGA-PBE | relaxed
# Formation energy from the elements ... 484.5 meV per atom
# Final energy ... -4.81 eV/atom
data_BeFePb
_cell_length_a 3.144
_cell_length_b 3.144
_cell_length_c 9.526
_cell_angle_alpha 90.00
_cell_angle_beta 90.00
_cell_angle_gamma 90.00
_space_group_name_H-M_alt 'I 4 m m'
_space_group_IT_number 107
_space_group_name_Hall 'I 4 -2'
loop_
_atom_site_label
_atom_site_type_symbol
_atom_site_fract_x
_atom_site_fract_y
_atom_site_fract_z
_atom_site_occupancy
Be1 Be 0.000 0.000 0.000 1
Fe1 Fe 0.000 0.000 0.435 1
Pb1 Pb 0.000 0.000 0.727 1

---

[7]
# Zn2HgOs | the Alexandria database | GGA-PBE | relaxed
# Formation energy from the elements ... 622.5 meV per atom
# Final energy ... -2.90 eV/atom
data_Zn2HgOs
_cell_length_a 3.996
_cell_length_b 3.996
_cell_length_c 18.145
_cell_angle_alpha 90.00
_cell_angle_beta 90.00
_cell_angle_gamma 90.00
_space_group_name_H-M_alt 'I -4 2 d'
_space_group_IT_number 122
_space_group_name_Hall 'I -4 2bw'
loop_
_atom_site_label
_atom_site_type_symbol
_atom_site_fract_x
_atom_site_fract_y
_atom_site_fract_z
_atom_site_occupancy
Zn1 Zn 0.195 0.250 0.125 1
Hg1 Hg 0.000 0.000 0.500 1
Os1 Os 0.000 0.000 0.000 1

---

[8]
# BaSiRh | the Alexandria database | GGA-PBE | relaxed
# Energy relative to the elements, uncorrected ... 3.003 eV per formula unit
# Final energy ... -3.90 eV/atom
data_BaSiRh
_cell_length_a 7.043
_cell_length_b 7.043
_cell_length_c 7.043
_cell_angle_alpha 90.00
_cell_angle_beta 90.00
_cell_angle_gamma 90.00
_space_group_name_H-M_alt 'F -4 3 m'
_space_group_IT_number 216
_space_group_name_Hall 'F -4 2 3'
loop_
_atom_site_label
_atom_site_type_symbol
_atom_site_fract_x
_atom_site_fract_y
_atom_site_fract_z
_atom_site_occupancy
Ba1 Ba 0.000 0.000 0.000 1
Si1 Si 0.250 0.250 0.750 1
Rh1 Rh 0.250 0.250 0.250 1

---

[9]
# Pm3Sb4Rh7 | the Alexandria database | GGA-PBE | relaxed
# Energy relative to the elements, uncorrected ... -10.801 eV per formula unit
# Final energy ... -6.64 eV/atom
data_Pm3Sb4Rh7
_cell_length_a 16.110
_cell_length_b 4.266
_cell_length_c 9.948
_cell_angle_alpha 90.00
_cell_angle_beta 125.44
_cell_angle_gamma 90.00
_space_group_name_H-M_alt 'C 1 2/m 1'
_space_group_IT_number 12
loop_
_space_group_symop_operation_xyz
'x,y,z'
'-x,-y,-z'
'-x,y,-z'
'x,-y,z'
'x+1/2,y+1/2,z'
'-x+1/2,-y+1/2,-z'
'-x+1/2,y+1/2,-z'
'x+1/2,-y+1/2,z'
loop_
_atom_site_label
_atom_site_type_symbol
_atom_site_fract_x
_atom_site_fract_y
_atom_site_fract_z
_atom_site_occupancy
Pm1 Pm 0.000 0.000 0.000 1
Pm2 Pm 0.164 0.500 0.653 1
Sb1 Sb 0.111 0.000 0.834 1
Sb2 Sb 0.164 0.500 0.271 1
Rh1 Rh 0.000 0.000 0.500 1
Rh2 Rh 0.009 0.500 0.295 1
Rh3 Rh 0.162 0.000 0.428 1
Rh4 Rh 0.194 0.500 0.037 1

---

[10]
# Ag2TeO | the Alexandria database | GGA-PBE | relaxed
# Energy relative to the elements, uncorrected ... 0.460 eV per formula unit
# Final energy ... -3.34 eV/atom
data_Ag2TeO
_cell_length_a 5.524
_cell_length_b 5.524
_cell_length_c 11.784
_cell_angle_alpha 90.00
_cell_angle_beta 90.00
_cell_angle_gamma 90.00
_space_group_name_H-M_alt 'I -4 2 d'
_space_group_IT_number 122
_space_group_name_Hall 'I -4 2bw'
loop_
_atom_site_label
_atom_site_type_symbol
_atom_site_fract_x
_atom_site_fract_y
_atom_site_fract_z
_atom_site_occupancy
Ag1 Ag 0.155 0.250 0.125 1
Te1 Te 0.000 0.000 0.500 1
O1 O 0.000 0.000 0.000 1

---

[11]
# Pm4Sm3Au4 | the Alexandria database | GGA-PBE | relaxed
# Formation energy from the elements ... -506.1 meV per atom
# Final energy ... -4.71 eV/atom
data_Pm4Sm3Au4
_cell_length_a 4.982
_cell_length_b 7.716
_cell_length_c 16.219
_cell_angle_alpha 90.00
_cell_angle_beta 90.00
_cell_angle_gamma 90.00
_space_group_name_H-M_alt 'I m m m'
_space_group_IT_number 71
_space_group_name_Hall '-I 2 2'
loop_
_atom_site_label
_atom_site_type_symbol
_atom_site_fract_x
_atom_site_fract_y
_atom_site_fract_z
_atom_site_occupancy
Pm1 Pm 0.000 0.220 0.172 1
Sm1 Sm 0.000 0.000 0.400 1
Sm2 Sm 0.000 0.500 0.500 1
Au1 Au 0.000 0.312 0.000 1
Au2 Au 0.000 0.500 0.301 1

---

[12]
# Tm4CoCu2 | the Alexandria database | GGA-PBE | relaxed
# Formation energy from the elements ... -143.8 meV per atom
# Final energy ... -4.88 eV/atom
data_Tm4CoCu2
_cell_length_a 4.741
_cell_length_b 4.741
_cell_length_c 6.780
_cell_angle_alpha 90.00
_cell_angle_beta 90.00
_cell_angle_gamma 90.00
_space_group_name_H-M_alt 'P 4/m m m'
_space_group_IT_number 123
_space_group_name_Hall '-P 4 2'
loop_
_atom_site_label
_atom_site_type_symbol
_atom_site_fract_x
_atom_site_fract_y
_atom_site_fract_z
_atom_site_occupancy
Tm1 Tm 0.000 0.500 0.242 1
Co1 Co 0.000 0.000 0.000 1
Cu1 Cu 0.000 0.000 0.500 1
Cu2 Cu 0.500 0.500 0.000 1